Record 1
Computed, not measured: a relaxed structure of Pm5Zn5Rh2 at the PBE-GGA level of DFT.

Summary:
E_form   -43 kJ per mole of atoms
Symmetry   C2/m (12)

a b c (Å): 4.269 8.211 8.557
angles (deg): 87.43 75.56 74.93
Positions (direct):
Rh  0.609  0.541  0.240
Rh  0.391  0.459  0.760
Zn  0.945  0.289  0.820
Pm  0.704  0.677  0.915
Pm  0.375  0.933  0.318
Pm  0.296  0.323  0.085
Pm  0.000  0.500  0.500
Zn  0.287  0.772  0.654
Zn  0.055  0.711  0.180
Zn  0.000  0.000  0.000
Zn  0.713  0.228  0.346
Pm  0.625  0.067  0.682

Record 2
Computed, not measured: a relaxed structure of Pm8ZnRh2 at the PBE-GGA level of DFT.

Summary:
E_form   -23 kJ per mole of atoms
Symmetry   Cm (8)

a b c (Å): 5.735 8.098 8.098
angles (deg): 116.07 99.17 99.17
Positions (direct):
Pm  0.183  0.388  0.388
Pm  0.999  0.768  0.238
Rh  0.499  0.714  0.292
Pm  0.565  0.091  0.339
Rh  0.499  0.292  0.714
Pm  0.999  0.238  0.768
Pm  0.431  0.667  0.916
Pm  0.814  0.617  0.617
Zn  0.014  0.002  0.002
Pm  0.431  0.916  0.667
Pm  0.565  0.339  0.091

Record 3
Computed, not measured: a relaxed structure of PmZn3Rh3 at the PBE-GGA level of DFT.

Summary:
E_form   15 kJ per mole of atoms
Symmetry   Pm-3n (223)

a b c (Å): 6.686 6.686 6.686
angles (deg): 90.00 90.00 90.00
Positions (direct):
Zn  0.500  0.000  0.250
Zn  0.250  0.500  0.000
Rh  0.000  0.500  0.750
Rh  0.500  0.250  0.000
Zn  0.500  0.000  0.750
Rh  0.000  0.500  0.250
Zn  0.750  0.500  0.000
Rh  0.500  0.750  0.000
Zn  0.000  0.750  0.500
Rh  0.250  0.000  0.500
Pm  0.000  0.000  0.000
Zn  0.000  0.250  0.500
Rh  0.750  0.000  0.500
Pm  0.500  0.500  0.500

Record 4
Computed, not measured: a relaxed structure of Pm3ZnRh8 at the PBE-GGA level of DFT.

Summary:
E_form   -50 kJ per mole of atoms
Symmetry   R3m (160)

a b c (Å): 5.336 5.336 9.259
angles (deg): 73.25 73.25 60.00
Positions (direct):
Rh  0.563  0.063  0.811
Pm  0.624  0.624  0.129
Rh  0.563  0.563  0.811
Rh  0.811  0.811  0.566
Rh  0.559  0.061  0.319
Pm  0.495  0.495  0.516
Rh  0.061  0.559  0.319
Zn  0.132  0.132  0.605
Rh  0.312  0.312  0.065
Rh  0.061  0.061  0.319
Pm  0.007  0.007  0.979
Rh  0.063  0.563  0.811

Record 5
Computed, not measured: a relaxed structure of Pm2Zn5Rh at the PBE-GGA level of DFT.

Summary:
E_form   -38 kJ per mole of atoms
Symmetry   Cmcm (63)

a b c (Å): 4.163 8.523 9.122
angles (deg): 90.00 90.00 104.14
Positions (direct):
Zn  0.399  0.797  0.250
Zn  0.806  0.611  0.110
Zn  0.646  0.292  0.481
Pm  0.000  0.000  0.500
Zn  0.354  0.708  0.981
Rh  0.553  0.106  0.250
Zn  0.194  0.389  0.890
Zn  0.646  0.292  0.019
Pm  0.000  0.000  0.000
Zn  0.601  0.203  0.750
Zn  0.354  0.708  0.519
Zn  0.194  0.389  0.610
Zn  0.806  0.611  0.390
Pm  0.184  0.368  0.250
Rh  0.447  0.894  0.750
Pm  0.816  0.632  0.750

Record 6
Computed, not measured: a relaxed structure of Pm8ZnRh2 at the PBE-GGA level of DFT.

Summary:
E_form   -32 kJ per mole of atoms
Symmetry   C2/m (12)

a b c (Å): 5.230 6.808 9.621
angles (deg): 109.61 105.77 90.00
Positions (direct):
Rh  0.166  0.725  0.332
Pm  0.030  0.786  0.059
Zn  0.500  0.000  0.000
Pm  0.405  0.519  0.811
Rh  0.834  0.275  0.668
Pm  0.801  0.657  0.602
Pm  0.199  0.343  0.398
Pm  0.322  0.991  0.644
Pm  0.970  0.214  0.941
Pm  0.595  0.481  0.189
Pm  0.678  0.009  0.356

Record 7
Computed, not measured: a relaxed structure of Pm2ZnRh at the PBE-GGA level of DFT.

Summary:
E_form   -45 kJ per mole of atoms
Symmetry   C2/m (12)

a b c (Å): 4.781 5.142 7.016
angles (deg): 137.39 109.97 89.96
Positions (direct):
Pm  0.834  0.899  0.667
Pm  0.166  0.119  0.333
Rh  0.500  0.009  0.000
Zn  0.500  0.509  0.000

Record 8
Computed, not measured: a relaxed structure of Pm6ZnRh at the PBE-GGA level of DFT.

Summary:
E_form   -21 kJ per mole of atoms
Symmetry   I4/mmm (139)

a b c (Å): 9.529 9.529 9.529
angles (deg): 148.85 148.85 44.63
Positions (direct):
Pm  0.402  0.902  0.500
Zn  0.500  0.500  0.000
Pm  0.253  0.253  0.000
Rh  0.000  0.000  0.000
Pm  0.747  0.747  0.000
Pm  0.598  0.098  0.500
Pm  0.902  0.402  0.500
Pm  0.098  0.598  0.500

no.,energy (eV per cell),total magnetization (μB per atom),density (g cm⁻³)
1,-50.15,0.000,7.45
2,-56.60,0.000,7.38
3,-59.08,0.000,7.22
4,-80.60,0.000,10.21
5,-52.82,0.000,7.62
6,-57.59,0.000,7.69
7,-19.99,0.000,7.54
8,-38.89,0.000,7.47